The following is a DFT calculation (GGA-PBE) of a geometry-optimized PmTmHg3 structure.

Calculated values
Space-group type: No. 63
Offset from the most stable computed form, meV/atom: 0
E_form, kcal/mol of atoms: -9.6
Fermi-level density of states, states/eV/cell: 10.2
Total moment, μB/f.u.: 0.18

Unit cell a=3.5775 b=4.9333 c=14.6331 alpha=90.00 beta=97.02 gamma=90.00
Each line ends with the local moment (μB).
Positions (direct):
Hg: 0.6839 0.2500 0.3678  0.00
Hg: 0.4754 0.2500 0.9509  0.01
Hg: 0.6238 0.7500 0.2477  0.01
Hg: 0.5246 0.7500 0.0491  0.01
Hg: 0.3762 0.2500 0.7523  0.01
Hg: 0.3161 0.7500 0.6322  0.00
Tm: 0.7890 0.2500 0.5780  0.01
Tm: 0.2110 0.7500 0.4220  0.01
Pm: 0.0766 0.2500 0.1531  0.08
Pm: 0.9234 0.7500 0.8469  0.08

The following is a DFT calculation (GGA-PBE) of a geometry-optimized PmTm4Hg4 structure.

Calculated values
Space-group type: No. 86
E_form, kcal/mol of atoms: -5.7
Fermi-level density of states, states/eV/cell: 17.7
Total moment, μB/f.u.: 0.00

Unit cell a=5.4342 b=9.5425 c=9.5425 alpha=90.00 beta=90.00 gamma=90.00
Positions (direct):
Tm: 0.5869 0.1471 0.4093
Tm: 0.4131 0.5907 0.1471
Tm: 0.9131 0.6471 0.9093
Tm: 0.0869 0.0907 0.6471
Tm: 0.9131 0.3529 0.0907
Tm: 0.5869 0.8529 0.5907
Tm: 0.0869 0.9093 0.3529
Tm: 0.4131 0.4093 0.8529
Hg: 0.4123 0.2092 0.1056
Hg: 0.0877 0.7092 0.6056
Hg: 0.5877 0.1056 0.7908
Hg: 0.4123 0.7908 0.8944
Hg: 0.5877 0.8944 0.2092
Hg: 0.9123 0.6056 0.2908
Hg: 0.0877 0.2908 0.3944
Hg: 0.9123 0.3944 0.7092
Pm: 0.0000 0.0000 0.0000
Pm: 0.5000 0.5000 0.5000

The following is a DFT calculation (GGA-PBE) of a geometry-optimized PmTm2Hg9 structure.

Calculated values
Space-group type: No. 123
E_form, kcal/mol of atoms: -7.0
Fermi-level density of states, states/eV/cell: 7.8
Total moment, μB/f.u.: 0.00

Unit cell a=4.7083 b=4.7083 c=13.2778 alpha=90.00 beta=90.00 gamma=90.00
Positions (direct):
Hg: 0.5000 0.5000 0.0000
Hg: 0.5000 0.0000 0.5000
Hg: 0.0000 0.5000 0.1733
Hg: 0.0000 0.5000 0.5000
Hg: 0.5000 0.0000 0.8267
Hg: 0.0000 0.5000 0.8267
Hg: 0.5000 0.5000 0.3381
Hg: 0.5000 0.0000 0.1733
Hg: 0.5000 0.5000 0.6619
Pm: 0.0000 0.0000 0.0000
Tm: 0.0000 0.0000 0.6605
Tm: 0.0000 0.0000 0.3395